[1]
PmSm3Pd2: optimized geometry, PBE.

Its energy above the most stable polymorph in this dataset is 0.064 eV per atom. Its energy of formation is -0.441 eV/atom.

Cell: 7.0782 14.0447 7.2282 Å, 90.00 90.00 90.00°
Space group Ibam (No. 72)
Symmetry-distinct sites (fractional):
Pm (0.0000, 0.0000, 0.0000) (multiplicity 4)
Sm (0.0000, 0.2351, 0.2500) (multiplicity 8)
Sm (0.0000, 0.5000, 0.2500) (multiplicity 4)
Pd (0.2078, 0.3597, 0.0000) (multiplicity 8)

***

[2]
TaPtCl2: optimized geometry, PBE.

Its energy above the most stable polymorph in this dataset is 0.683 eV per atom. The uncorrected formation energy is 0.0197 eV/atom.

Cell: 8.8272 8.8272 5.0073 Å, 90.00 90.00 90.00°
Space group I-42d (No. 122)
Symmetry-distinct sites (fractional):
Ta (0.0000, 0.0000, 0.0000) (multiplicity 4)
Pt (0.0000, 0.0000, 0.5000) (multiplicity 4)
Cl (0.1039, 0.2500, 0.1250) (multiplicity 8)